# 1
# HI8

HI8 after structural relaxation (PBE-GGA, the Alexandria database).

Electronic total energy = -1.689 eV/atom

POSCAR file:
```
HI8
1.0
9.432 -0.487 -3.404
-5.911 9.810 -1.876
-2.773 -2.990 7.562
I H
8 1
Direct
0.192 0.388 0.382 I
0.051 0.538 0.209 I
0.475 0.464 0.123 I
0.127 0.081 0.265 I
0.475 0.945 0.118 I
0.192 0.870 0.377 I
0.539 0.253 0.234 I
0.615 0.796 0.292 I
0.333 0.167 0.250 H
```


# 2
# ScGa4CoIr2

ScGa4CoIr2 after structural relaxation (PBE-GGA, the Alexandria database).

DFT formation energy = -3.795 eV/f.u.

POSCAR file:
```
ScGa4CoIr2
1.0
-0.790 2.928 -2.923
1.085 -0.683 -4.013
-6.961 -2.508 -3.667
Ga Ir Co Sc
4 2 1 1
Direct
0.132 0.132 0.603 Ga
0.393 0.393 0.822 Ga
0.868 0.868 0.397 Ga
0.607 0.607 0.178 Ga
0.242 0.242 0.274 Ir
0.758 0.758 0.726 Ir
0.500 0.500 0.500 Co
0.000 0.000 0.000 Sc
```


# 3
# KPb

KPb after structural relaxation (PBE-GGA, the Alexandria database).

DFT formation energy = -0.316 eV/f.u.

POSCAR file:
```
KPb
1.0
-6.115 2.592 -0.413
-5.712 -0.280 3.402
-1.234 4.635 3.621
K Pb
2 2
Direct
0.226 0.226 0.274 K
0.024 0.024 0.976 K
0.463 0.463 0.536 Pb
0.787 0.787 0.714 Pb
```


# 4
# LiFe2P

LiFe2P after structural relaxation (PBE-GGA, the Alexandria database).

DFT formation energy = -0.165 eV/f.u.

POSCAR file:
```
LiFe2P
1.0
-2.414 1.161 -0.754
-1.376 -2.178 1.050
-0.303 2.564 4.921
Li Fe P
1 2 1
Direct
0.500 0.500 0.250 Li
0.000 0.000 0.969 Fe
0.000 0.000 0.531 Fe
0.500 0.500 0.750 P
```


# 5
# VTcPd

VTcPd after structural relaxation (PBE-GGA, the Alexandria database).

DFT formation energy = -0.073 eV/f.u.

POSCAR file:
```
VTcPd
1.0
-0.267 1.817 1.838
-4.303 -0.819 0.184
2.764 -2.210 2.588
Pd V Tc
1 1 1
Direct
0.206 0.667 0.333 Pd
0.097 0.000 0.000 V
0.697 0.333 0.667 Tc
```


# 6
# Ca4Ga3Cu

Ca4Ga3Cu after structural relaxation (PBE-GGA, the Alexandria database).

DFT formation energy = -3.021 eV/f.u.

POSCAR file:
```
Ca4Ga3Cu
1.0
4.178 0.000 0.000
0.000 4.385 0.000
0.000 0.000 11.352
Ga Ca Cu
3 4 1
Direct
0.000 0.500 0.569 Ga
0.000 0.000 0.431 Ga
0.500 0.000 0.944 Ga
0.000 0.000 0.145 Ca
0.500 0.500 0.354 Ca
0.500 0.000 0.646 Ca
0.000 0.500 0.858 Ca
0.500 0.500 0.052 Cu
```